The following is a GGA+U calculation of crystalline TlCr4Cu3O12 at its relaxed geometry, from the Alexandria database.

Calculated values
The electronic total energy is -6.420 eV/atom. The spin magnetization comes out at 11.98 μB/f.u. Its density of states at the Fermi level is 1.94 states/eV/cell. Its symmetry is Im-3 (204).

Cell: 6.4260 6.4260 6.4260 Å, 109.47 109.47 109.47°
Sites, in units of the cell vectors:
Tl 0.0000 0.0000 0.0000
Cr 0.0000 0.0000 0.5000
Cr 0.0000 0.5000 0.0000
Cr 0.5000 0.0000 0.0000
Cr 0.5000 0.5000 0.5000
Cu 0.0000 0.5000 0.5000
Cu 0.5000 0.0000 0.5000
Cu 0.5000 0.5000 0.0000
O 0.1427 0.8305 0.3122
O 0.1695 0.3122 0.4817
O 0.1695 0.6878 0.8573
O 0.3122 0.1427 0.8305
O 0.3122 0.4817 0.1695
O 0.4817 0.1695 0.3122
O 0.5183 0.8305 0.6878
O 0.6878 0.5183 0.8305
O 0.6878 0.8573 0.1695
O 0.8305 0.3122 0.1427
O 0.8305 0.6878 0.5183
O 0.8573 0.1695 0.6878